# 1
An optimized crystal structure of YTm5Hg2. Source: Alexandria, functional PBE.

abc: 3.6947 10.0044 12.2260
angles: 90.00 90.00 90.00
Fractional coordinates of all 16 atoms:
Y: 0.0000 0.0000 0.0000
Y: 0.5000 0.5000 0.5000
Tm: 0.0000 0.2256 0.3640
Tm: 0.0000 0.2256 0.6360
Tm: 0.0000 0.5000 0.0000
Tm: 0.0000 0.7744 0.3640
Tm: 0.0000 0.7744 0.6360
Tm: 0.5000 0.0000 0.5000
Tm: 0.5000 0.2744 0.1360
Tm: 0.5000 0.2744 0.8640
Tm: 0.5000 0.7256 0.1360
Tm: 0.5000 0.7256 0.8640
Hg: 0.0000 0.5000 0.2615
Hg: 0.0000 0.5000 0.7385
Hg: 0.5000 0.0000 0.2385
Hg: 0.5000 0.0000 0.7615

total moment: 0.0 μB/f.u.
symmetry: Immm, No. 71
energy of formation from the pure elements: -1.3 eV per formula unit
N(E_F): 0.9445 states/eV per atom

***

# 2
An optimized crystal structure of Y2TmHg8. Source: Alexandria, functional PBE.

abc: 8.5256 8.5256 8.5256
angles: 145.44 128.56 63.46
Fractional coordinates of all 11 atoms:
Y: 0.1962 0.1962 0.0000
Y: 0.8038 0.8038 0.0000
Tm: 0.5000 0.5000 0.0000
Hg: 0.0685 0.3575 0.7110
Hg: 0.2095 0.0000 0.2095
Hg: 0.3429 0.8429 0.5000
Hg: 0.3536 0.6425 0.7110
Hg: 0.6464 0.3575 0.2890
Hg: 0.6571 0.1571 0.5000
Hg: 0.7905 0.0000 0.7905
Hg: 0.9315 0.6425 0.2890

total moment: 0.0 μB/f.u.
symmetry: Immm, No. 71
energy of formation from the pure elements: -3.3 eV per formula unit
N(E_F): 0.4897 states/eV per atom

***

# 3
An optimized crystal structure of YTm3Hg4. Source: Alexandria, functional PBE.

abc: 5.1891 5.1891 7.4506
angles: 90.00 90.00 90.00
Fractional coordinates of all 8 atoms:
Y: 0.0000 0.0000 0.0000
Tm: 0.0000 0.0000 0.5000
Tm: 0.5000 0.5000 0.0000
Tm: 0.5000 0.5000 0.5000
Hg: 0.0000 0.5000 0.2541
Hg: 0.0000 0.5000 0.7459
Hg: 0.5000 0.0000 0.2541
Hg: 0.5000 0.0000 0.7459

total moment: 0.0 μB/f.u.
symmetry: P4/mmm, No. 123
energy of formation from the pure elements: -3.9 eV per formula unit
N(E_F): 0.7856 states/eV per atom

***

# 4
An optimized crystal structure of YTm2Hg6. Source: Alexandria, functional PBE.

abc: 9.2121 9.2121 5.4042
angles: 97.74 97.74 78.21
Fractional coordinates of all 18 atoms:
Y: 0.1257 0.8743 0.7500
Y: 0.8743 0.1257 0.2500
Tm: 0.2084 0.4585 0.9156
Tm: 0.4585 0.2084 0.4156
Tm: 0.5415 0.7916 0.5844
Tm: 0.7916 0.5415 0.0844
Hg: 0.0136 0.7605 0.1955
Hg: 0.0986 0.3495 0.3617
Hg: 0.2395 0.9864 0.3045
Hg: 0.3211 0.5690 0.4707
Hg: 0.3495 0.0986 0.8617
Hg: 0.4310 0.6789 0.0293
Hg: 0.5690 0.3211 0.9707
Hg: 0.6505 0.9014 0.1383
Hg: 0.6789 0.4310 0.5293
Hg: 0.7605 0.0136 0.6955
Hg: 0.9014 0.6505 0.6383
Hg: 0.9864 0.2395 0.8045

total moment: 0.0 μB/f.u.
symmetry: C2/c, No. 15
energy of formation from the pure elements: -3.5 eV per formula unit
N(E_F): 0.4318 states/eV per atom

***

# 5
An optimized crystal structure of Y3Tm2Hg4. Source: Alexandria, functional PBE.

abc: 9.7541 9.7541 7.8556
angles: 90.00 90.00 138.29
Fractional coordinates of all 18 atoms:
Y: 0.0000 0.0000 0.0000
Y: 0.0107 0.4893 0.2500
Y: 0.4893 0.0107 0.7500
Y: 0.5000 0.5000 0.5000
Y: 0.5107 0.9893 0.2500
Y: 0.9893 0.5107 0.7500
Tm: 0.0938 0.9062 0.4145
Tm: 0.4062 0.5938 0.9145
Tm: 0.5938 0.4062 0.0855
Tm: 0.9062 0.0938 0.5855
Hg: 0.1634 0.8366 0.0358
Hg: 0.1803 0.3197 0.2500
Hg: 0.3197 0.1803 0.7500
Hg: 0.3366 0.6634 0.5358
Hg: 0.6634 0.3366 0.4642
Hg: 0.6803 0.8197 0.2500
Hg: 0.8197 0.6803 0.7500
Hg: 0.8366 0.1634 0.9642

total moment: 0.0 μB/f.u.
symmetry: Cmce, No. 64
energy of formation from the pure elements: -2.8 eV per formula unit
N(E_F): 0.8543 states/eV per atom

***

# 6
An optimized crystal structure of YTmHg4. Source: Alexandria, functional PBE.

abc: 11.8798 3.5924 7.2498
angles: 90.00 107.85 90.00
Fractional coordinates of all 12 atoms:
Y: 0.0000 0.0000 0.0000
Y: 0.5000 0.5000 0.0000
Tm: 0.0000 0.0000 0.5000
Tm: 0.5000 0.5000 0.5000
Hg: 0.1660 0.5000 0.3378
Hg: 0.1677 0.5000 0.8300
Hg: 0.3323 0.0000 0.1700
Hg: 0.3340 0.0000 0.6622
Hg: 0.6660 0.0000 0.3378
Hg: 0.6677 0.0000 0.8300
Hg: 0.8323 0.5000 0.1700
Hg: 0.8340 0.5000 0.6622

total moment: 0.2 μB/f.u.
symmetry: C2/m, No. 12
energy of formation from the pure elements: -2.0 eV per formula unit
N(E_F): 0.6125 states/eV per atom
ΔE to the lowest computed polymorph: 48 meV/atom